Ni2BSbRu | PBE | optimized geometry

Space group ... No. 123
Calculated total energy ... -6.342 eV/atom
Raw formation energy ... -0.014 eV per atom

a = 3.952 Å, b = 3.952 Å, c = 4.156 Å
α = 90.00°, β = 90.00°, γ = 90.00°
Fractional positions:
1 B 0.000 0.000 0.000
2 Ni 0.000 0.500 0.000
3 Ni 0.500 0.000 0.000
4 Ru 0.000 0.000 0.500
5 Sb 0.500 0.500 0.500



ScNi2BRu | PBE | optimized geometry

Energy relative to the elements ... 8.16 eV/f.u.
Space group ... No. 123
Energy above the most stable polymorph in this dataset ... 2142 meV/atom
Calculated total energy ... -5.137 eV/atom

a = 4.291 Å, b = 4.215 Å, c = 4.291 Å
α = 90.00°, β = 90.00°, γ = 90.00°
Fractional positions:
1 Ru 0.500 0.500 0.500
2 Ni 0.000 0.000 0.500
3 Ni 0.500 0.000 0.000
4 B 0.000 0.500 0.000
5 Sc 0.000 0.000 0.000



ScNi2BRu | PBE | optimized geometry

Energy relative to the elements ... -2.55 eV/f.u.
Space group ... No. 123
Energy above the most stable polymorph in this dataset ... 0 meV/atom
Calculated total energy ... -7.279 eV/atom

a = 3.908 Å, b = 3.908 Å, c = 4.108 Å
α = 90.00°, β = 90.00°, γ = 90.00°
Fractional positions:
1 Ru 0.000 0.000 0.500
2 Sc 0.500 0.500 0.500
3 Ni 0.500 0.000 0.000
4 Ni 0.000 0.500 0.000
5 B 0.000 0.000 0.000



SiNi2BRu | PBE | optimized geometry

Space group ... No. 123
Calculated total energy ... -4.831 eV/atom
Raw formation energy ... 1.757 eV per atom

a = 4.545 Å, b = 4.458 Å, c = 4.545 Å
α = 90.00°, β = 90.00°, γ = 90.00°
Fractional positions:
1 B 0.500 0.500 0.500
2 Si 0.000 0.500 0.000
3 Ni 0.000 0.000 0.500
4 Ni 0.500 0.000 0.000
5 Ru 0.000 0.000 0.000



SmNiB2Ru | PBE | optimized geometry

Energy relative to the elements ... -2.47 eV/f.u.
Space group ... No. 119
Calculated total energy ... -7.120 eV/atom

a = 3.707 Å, b = 3.707 Å, c = 5.605 Å
α = 109.31°, β = 109.31°, γ = 90.00°
Fractional positions:
1 Ru 0.750 0.250 0.500
2 Sm 0.000 0.000 0.000
3 B 0.348 0.348 0.697
4 B 0.652 0.652 0.303
5 Ni 0.250 0.750 0.500



NiSn2BRu | PBE | optimized geometry

Energy relative to the elements ... 3.62 eV/f.u.
Space group ... No. 123
Calculated total energy ... -5.224 eV/atom

a = 4.954 Å, b = 3.639 Å, c = 4.954 Å
α = 90.00°, β = 90.00°, γ = 90.00°
Fractional positions:
1 Sn 0.000 0.000 0.500
2 Sn 0.500 0.000 0.000
3 B 0.000 0.500 0.000
4 Ni 0.000 0.000 0.000
5 Ru 0.500 0.500 0.500



Ni2SnBRu | PBE | optimized geometry

Energy relative to the elements ... -0.86 eV/f.u.
Space group ... No. 123
Calculated total energy ... -6.475 eV/atom

a = 3.953 Å, b = 3.953 Å, c = 4.093 Å
α = 90.00°, β = 90.00°, γ = 90.00°
Fractional positions:
1 Sn 0.500 0.500 0.500
2 Ru 0.000 0.000 0.500
3 Ni 0.000 0.500 0.000
4 Ni 0.500 0.000 0.000
5 B 0.000 0.000 0.000



TaNiBRu2 | PBE | optimized geometry

Energy relative to the elements ... -1.28 eV/f.u.
Space group ... No. 123
Calculated total energy ... -8.828 eV/atom

a = 4.112 Å, b = 4.112 Å, c = 3.817 Å
α = 90.00°, β = 90.00°, γ = 90.00°
Fractional positions:
1 B 0.000 0.000 0.000
2 Ta 0.500 0.500 0.500
3 Ru 0.500 0.000 0.000
4 Ru 0.000 0.500 0.000
5 Ni 0.000 0.000 0.500



TbNiB2Ru | PBE | optimized geometry

Energy relative to the elements ... -2.61 eV/f.u.
Space group ... No. 119
Calculated total energy ... -7.131 eV/atom

a = 3.690 Å, b = 3.690 Å, c = 5.461 Å
α = 109.74°, β = 109.74°, γ = 90.00°
Fractional positions:
1 B 0.645 0.645 0.289
2 B 0.355 0.355 0.711
3 Tb 0.000 0.000 0.000
4 Ni 0.250 0.750 0.500
5 Ru 0.750 0.250 0.500



TiNiB2Ru | PBE | optimized geometry

Energy relative to the elements ... 4.61 eV/f.u.
Space group ... No. 123
Calculated total energy ... -6.339 eV/atom

a = 3.983 Å, b = 4.693 Å, c = 3.983 Å
α = 90.00°, β = 90.00°, γ = 90.00°
Fractional positions:
1 B 0.000 0.000 0.500
2 B 0.500 0.000 0.000
3 Ni 0.500 0.500 0.500
4 Ru 0.000 0.000 0.000
5 Ti 0.000 0.500 0.000



Tl2NiBRu | PBE | optimized geometry

Energy relative to the elements ... 4.83 eV/f.u.
Space group ... No. 123
Calculated total energy ... -4.328 eV/atom

a = 5.267 Å, b = 3.933 Å, c = 5.267 Å
α = 90.00°, β = 90.00°, γ = 90.00°
Fractional positions:
1 Tl 0.500 0.000 0.000
2 Tl 0.000 0.000 0.500
3 B 0.000 0.500 0.000
4 Ni 0.500 0.500 0.500
5 Ru 0.000 0.000 0.000



TmNiB2Ru | PBE | optimized geometry

Energy relative to the elements ... -2.72 eV/f.u.
Space group ... No. 119
Calculated total energy ... -7.121 eV/atom

a = 3.669 Å, b = 3.669 Å, c = 5.276 Å
α = 110.35°, β = 110.35°, γ = 90.00°
Fractional positions:
1 B 0.368 0.368 0.736
2 B 0.632 0.632 0.264
3 Ni 0.750 0.250 0.500
4 Tm 0.000 0.000 0.000
5 Ru 0.250 0.750 0.500



ZnNiB2Ru | PBE | optimized geometry

Energy relative to the elements ... 4.82 eV/f.u.
Space group ... No. 123
Calculated total energy ... -4.973 eV/atom

a = 3.723 Å, b = 4.418 Å, c = 3.723 Å
α = 90.00°, β = 90.00°, γ = 90.00°
Fractional positions:
1 Zn 0.000 0.500 0.000
2 B 0.000 0.000 0.500
3 B 0.500 0.000 0.000
4 Ru 0.500 0.500 0.500
5 Ni 0.000 0.000 0.000



Ni2B2S | PBE | optimized geometry

Space group ... No. 127
Energy above the most stable polymorph in this dataset ... 134 meV/atom
Calculated total energy ... -5.360 eV/atom
Raw formation energy ... 0.449 eV per atom

a = 5.710 Å, b = 5.710 Å, c = 2.983 Å
α = 90.00°, β = 90.00°, γ = 90.00°
Fractional positions:
1 Ni 0.213 0.713 0.500
2 Ni 0.713 0.787 0.500
3 Ni 0.787 0.287 0.500
4 Ni 0.287 0.213 0.500
5 B 0.101 0.399 0.000
6 B 0.601 0.101 0.000
7 B 0.399 0.899 0.000
8 B 0.899 0.601 0.000
9 S 0.500 0.500 0.000
10 S 0.000 0.000 0.000